Entry 1:
Here is a relaxed structure of Zr2Re2O5 from OQMD. Energies are from PBE-GGA.

a = 3.8755 Å, b = 3.8755 Å, c = 6.7837 Å
α = 90.00°, β = 90.00°, γ = 90.00°
Fractional positions:
Zr  0.0000  0.0000  0.0000
Zr  0.0000  0.0000  0.5000
Re  0.5000  0.5000  0.1827
Re  0.5000  0.5000  0.8173
O  0.0000  0.5000  0.2644
O  0.0000  0.5000  0.7356
O  0.5000  0.0000  0.2644
O  0.5000  0.0000  0.7356
O  0.5000  0.5000  0.5000

energy above the most stable polymorph in this dataset = 0.074 eV per atom


Entry 2:
Here is a relaxed structure of Sr2Zn2SeSO2 from OQMD. Energies are from PBE-GGA.

a = 3.9738 Å, b = 3.9738 Å, c = 11.8074 Å
α = 90.00°, β = 90.00°, γ = 120.00°
Fractional positions:
Sr  0.0000  0.0000  0.0000
Sr  0.3333  0.6667  0.5108
Zn  0.6667  0.3333  0.2858
Zn  0.6667  0.3333  0.7755
Se  0.3333  0.6667  0.2027
S  0.0000  0.0000  0.7052
O  0.6667  0.3333  0.4478
O  0.6667  0.3333  0.9374


Entry 3:
Here is a relaxed structure of Sm4Si2S3O7 from OQMD. Energies are from PBE-GGA.

a = 10.8857 Å, b = 10.8857 Å, c = 10.8857 Å
α = 114.14°, β = 114.14°, γ = 100.49°
Fractional positions:
Sm  0.0468  0.2968  0.0937
Sm  0.0468  0.9532  0.7500
Sm  0.1713  0.6572  0.5141
Sm  0.2968  0.0468  0.5937
Sm  0.2968  0.7032  0.2500
Sm  0.3428  0.3569  0.5141
Sm  0.3428  0.8287  0.9859
Sm  0.3569  0.3428  0.0141
Sm  0.6431  0.6572  0.9859
Sm  0.6572  0.1713  0.0141
Sm  0.6572  0.6431  0.4859
Sm  0.7032  0.2968  0.7500
Sm  0.7032  0.9532  0.4063
Sm  0.8287  0.3428  0.4859
Sm  0.9532  0.0468  0.2500
Sm  0.9532  0.7032  0.9063
Si  0.0971  0.2227  0.6256
Si  0.0971  0.4715  0.8744
Si  0.2227  0.0971  0.1256
Si  0.4715  0.0971  0.3744
Si  0.5285  0.9029  0.6256
Si  0.7773  0.9029  0.8744
Si  0.9029  0.5285  0.1256
Si  0.9029  0.7773  0.3744
S  0.0000  0.3522  0.3522
S  0.0000  0.6478  0.6478
S  0.1250  0.8750  0.2500
S  0.3522  0.0000  0.8522
S  0.3522  0.5000  0.3522
S  0.3750  0.6250  0.7500
S  0.5000  0.3522  0.8522
S  0.5000  0.6478  0.1478
S  0.6250  0.3750  0.2500
S  0.6478  0.0000  0.1478
S  0.6478  0.5000  0.6478
S  0.8750  0.1250  0.7500
O  0.0788  0.5670  0.2307
O  0.0788  0.8481  0.5118
O  0.1491  0.3991  0.7500
O  0.1519  0.1637  0.2307
O  0.1519  0.9212  0.9882
O  0.1637  0.1519  0.7307
O  0.1637  0.4330  0.0118
O  0.1747  0.1948  0.5201
O  0.1747  0.6546  0.9799
O  0.1948  0.1747  0.0201
O  0.3454  0.8253  0.5201
O  0.3991  0.1491  0.2500
O  0.4330  0.1637  0.5118
O  0.4330  0.9212  0.2693
O  0.5670  0.0788  0.7307
O  0.5670  0.8363  0.4882
O  0.6009  0.8509  0.7500
O  0.6546  0.1747  0.4799
O  0.8052  0.8253  0.9799
O  0.8253  0.3454  0.0201
O  0.8253  0.8052  0.4799
O  0.8363  0.5670  0.9882
O  0.8363  0.8481  0.2693
O  0.8481  0.0788  0.0118
O  0.8481  0.8363  0.7693
O  0.8509  0.6009  0.2500
O  0.9212  0.1519  0.4882
O  0.9212  0.4330  0.7693


Entry 4:
Here is a relaxed structure of Tb4Si2S3O7 from OQMD. Energies are from PBE-GGA.

a = 10.7197 Å, b = 10.7197 Å, c = 10.7197 Å
α = 113.96°, β = 113.96°, γ = 100.82°
Fractional positions:
Tb  0.0476  0.2976  0.0953
Tb  0.0476  0.9524  0.7500
Tb  0.1737  0.6585  0.5152
Tb  0.2976  0.0476  0.5953
Tb  0.2976  0.7024  0.2500
Tb  0.3415  0.3567  0.5152
Tb  0.3415  0.8263  0.9848
Tb  0.3567  0.3415  0.0152
Tb  0.6433  0.6585  0.9848
Tb  0.6585  0.1737  0.0152
Tb  0.6585  0.6433  0.4848
Tb  0.7024  0.2976  0.7500
Tb  0.7024  0.9524  0.4047
Tb  0.8263  0.3415  0.4848
Tb  0.9524  0.0476  0.2500
Tb  0.9524  0.7024  0.9047
Si  0.0957  0.2210  0.6253
Si  0.0957  0.4705  0.8747
Si  0.2210  0.0957  0.1253
Si  0.4705  0.0957  0.3747
Si  0.5295  0.9043  0.6253
Si  0.7790  0.9043  0.8747
Si  0.9043  0.5295  0.1253
Si  0.9043  0.7790  0.3747
S  0.0000  0.3541  0.3541
S  0.0000  0.6459  0.6459
S  0.1250  0.8750  0.2500
S  0.3541  0.0000  0.8541
S  0.3541  0.5000  0.3541
S  0.3750  0.6250  0.7500
S  0.5000  0.3541  0.8541
S  0.5000  0.6459  0.1459
S  0.6250  0.3750  0.2500
S  0.6459  0.0000  0.1459
S  0.6459  0.5000  0.6459
S  0.8750  0.1250  0.7500
O  0.0822  0.5678  0.2327
O  0.0822  0.8495  0.5144
O  0.1501  0.4001  0.7500
O  0.1505  0.1649  0.2327
O  0.1505  0.9178  0.9856
O  0.1649  0.1505  0.7327
O  0.1649  0.4322  0.0144
O  0.1737  0.1913  0.5176
O  0.1737  0.6561  0.9824
O  0.1913  0.1737  0.0176
O  0.3439  0.8263  0.5176
O  0.4001  0.1501  0.2500
O  0.4322  0.1649  0.5144
O  0.4322  0.9178  0.2673
O  0.5678  0.0822  0.7327
O  0.5678  0.8351  0.4856
O  0.5999  0.8499  0.7500
O  0.6561  0.1737  0.4824
O  0.8087  0.8263  0.9824
O  0.8263  0.3439  0.0176
O  0.8263  0.8087  0.4824
O  0.8351  0.5678  0.9856
O  0.8351  0.8495  0.2673
O  0.8495  0.0822  0.0144
O  0.8495  0.8351  0.7673
O  0.8499  0.5999  0.2500
O  0.9178  0.1505  0.4856
O  0.9178  0.4322  0.7673


Number 1: E -8.7309 eV per atom. Number 2: E -4.7412 eV per atom. Number 3: E -7.6560 eV per atom. Number 4: E -7.6460 eV per atom.